# Dy5CdCu4

A geometry-optimized Dy5CdCu4 structure (PBE, Alexandria).

As for the volume: 218.98 Å³/cell. As for the crystal system: tetragonal. The calculation puts the formation energy at -0.261 eV per atom. Its spin magnetization is 0.00 Bohr magnetons per cell.

It has space group P4/mmm (No. 123), with a = 3.4808 Å, b = 3.4808 Å, c = 18.0740 Å, α = 90.00°, β = 90.00° and γ = 90.00°. The asymmetric unit holds Dy at (0.0000, 0.0000, 0.0000), Dy at (0.0000, 0.0000, 0.1914), Dy at (0.0000, 0.0000, 0.3814), Cd at (0.5000, 0.5000, 0.5000), Cu at (0.5000, 0.5000, 0.0956) and Cu at (0.5000, 0.5000, 0.2884).



# Mg2TlGeRh

A geometry-optimized Mg2TlGeRh structure (PBE, Alexandria).

As for the volume: 120.05 Å³/cell. As for the crystal system: tetragonal. The calculation puts the formation energy at -0.208 eV per atom. Its spin magnetization is 0.00 Bohr magnetons per cell.

It has space group P4/mmm (No. 123), with a = 5.0673 Å, b = 5.0673 Å, c = 4.6751 Å, α = 90.00°, β = 90.00° and γ = 90.00°. The asymmetric unit holds Mg at (0.0000, 0.5000, 0.0000), Tl at (0.0000, 0.0000, 0.5000), Ge at (0.5000, 0.5000, 0.5000) and Rh at (0.5000, 0.5000, 0.0000).



# VTeS2N

A geometry-optimized VTeS2N structure (PBE, Alexandria).

As for the volume: 84.96 Å³/cell. The relative energy among the computed polymorphs is 0.000 eV per atom. As for the crystal system: tetragonal. Its spin magnetization is 0.00 Bohr magnetons per cell. The calculation puts the formation energy without anion corrections at 0.551 eV/f.u.

It has space group P4/mmm (No. 123), with a = 4.8212 Å, b = 4.8212 Å, c = 3.6550 Å, α = 90.00°, β = 90.00° and γ = 90.00°. The asymmetric unit holds V at (0.0000, 0.0000, 0.0000), Te at (0.5000, 0.5000, 0.5000), S at (0.0000, 0.5000, 0.0000) and N at (0.0000, 0.0000, 0.5000).



# TlCoTe2

A geometry-optimized TlCoTe2 structure (PBE, Alexandria).

As for the volume: 110.75 Å³/cell. As for the crystal system: orthorhombic. Its spin magnetization is 2.40 Bohr magnetons per cell. The calculation puts the formation energy without anion corrections at 2.340 eV/f.u.

It has space group Pmmm (No. 47), with a = 3.9943 Å, b = 4.3005 Å, c = 6.4471 Å, α = 90.00°, β = 90.00° and γ = 90.00°. The asymmetric unit holds Tl at (0.0000, 0.0000, 0.0000), Co at (0.0000, 0.5000, 0.5000), Te at (0.5000, 0.0000, 0.5000) and Te at (0.5000, 0.5000, 0.0000).



# SiSeCl

A geometry-optimized SiSeCl structure (PBE, Alexandria).

As for the volume: 397.64 Å³/cell. The relative energy among the computed polymorphs is 0.513 eV per atom. As for the crystal system: orthorhombic. Its spin magnetization is 0.00 Bohr magnetons per cell. The calculation puts the formation energy without anion corrections at -0.171 eV/f.u.

It has space group Fmm2 (No. 42), with a = 3.3465 Å, b = 8.8257 Å, c = 13.4630 Å, α = 90.00°, β = 90.00° and γ = 90.00°. The asymmetric unit holds Si at (0.0000, 0.0000, 0.0000), Se at (0.0000, 0.0000, 0.6207) and Cl at (0.0000, 0.0000, 0.3594).



# LaTcRh2

A geometry-optimized LaTcRh2 structure (PBE, Alexandria).

As for the volume: 149.94 Å³/cell. The relative energy among the computed polymorphs is 0.142 eV per atom. As for the crystal system: monoclinic. The calculation puts the formation energy at 0.086 eV per atom. Its spin magnetization is 0.00 Bohr magnetons per cell.

It has space group C2/m (No. 12), with a = 8.8981 Å, b = 2.9111 Å, c = 5.8575 Å, α = 90.00°, β = 98.80° and γ = 90.00°. The asymmetric unit holds La at (0.0000, 0.0000, 0.0000), Tc at (0.0000, 0.5000, 0.5000) and Rh at (0.2432, 0.0000, 0.6850).